First-principles (PBE) data for an optimized crystal structure of AgOs3, as listed in Alexandria via LeMat-Bulk.

Summary:
**E above lowest polymorph**: 2.118 eV/f.u.
**Uncorrected energy**: -8.33 eV per atom
**D(E_F)**: 1.353 states/eV per atom
**ρ**: 18.84 g cm⁻³
**Formation energy**: 0.80 eV per atom

The structure in CIF format:
```
data_AgOs3
_cell_length_a 3.886
_cell_length_b 3.886
_cell_length_c 15.835
_cell_angle_alpha 90.00
_cell_angle_beta 90.00
_cell_angle_gamma 90.00
_space_group_name_H-M_alt 'I 4/m m m'
_space_group_IT_number 139
_space_group_name_Hall '-I 4 2'
loop_
_atom_site_label
_atom_site_fract_x
_atom_site_fract_y
_atom_site_fract_z
_atom_site_occupancy
Ag1 0.000 0.000 0.122 1
Os1 0.000 0.000 0.372 1
Os2 0.000 0.500 0.000 1
Os3 0.000 0.500 0.250 1
```

---

First-principles (PBE) data for an optimized crystal structure of RbCuHg2Bi, as listed in Alexandria via LeMat-Bulk.

Summary:
**Uncorrected energy**: -1.92 eV per atom
**D(E_F)**: 0.877 states/eV per atom
**ρ**: 8.14 g cm⁻³
**Formation energy**: -0.01 eV per atom

The structure in CIF format:
```
data_RbCuHg2Bi
_cell_length_a 5.341
_cell_length_b 5.341
_cell_length_c 5.426
_cell_angle_alpha 90.00
_cell_angle_beta 90.00
_cell_angle_gamma 90.00
_space_group_name_H-M_alt 'P 4/m m m'
_space_group_IT_number 123
_space_group_name_Hall '-P 4 2'
loop_
_atom_site_label
_atom_site_fract_x
_atom_site_fract_y
_atom_site_fract_z
_atom_site_occupancy
Rb1 0.000 0.000 0.000 1
Cu1 0.500 0.500 0.500 1
Hg1 0.000 0.500 0.500 1
Bi1 0.500 0.500 0.000 1
```

---

First-principles (PBE) data for an optimized crystal structure of NbClF2, as listed in Alexandria via LeMat-Bulk.

Summary:
**Formation energy without anion corrections**: -1.489 eV per atom
**E above lowest polymorph**: 0.289 eV/f.u.
**Uncorrected energy**: -5.40 eV per atom
**D(E_F)**: 0.537 states/eV per atom
**ρ**: 3.99 g cm⁻³

The structure in CIF format:
```
data_NbClF2
_cell_length_a 2.8538
_cell_length_b 2.8538
_cell_length_c 29.4564
_cell_angle_alpha 90.00
_cell_angle_beta 90.00
_cell_angle_gamma 120.00
_space_group_name_H-M_alt 'R -3 m'
_space_group_IT_number 166
_space_group_name_Hall '-R 3 2"'
loop_
_atom_site_label
_atom_site_fract_x
_atom_site_fract_y
_atom_site_fract_z
_atom_site_occupancy
Nb1 0.0000 0.0000 0.0000 1
Cl1 0.0000 0.0000 0.5000 1
F1 0.0000 0.0000 0.3840 1
```

---

First-principles (PBE) data for an optimized crystal structure of ZnMoP2, as listed in Alexandria via LeMat-Bulk.

Summary:
**Uncorrected energy**: -5.64 eV per atom
**D(E_F)**: 0.900 states/eV per atom
**ρ**: 4.51 g cm⁻³
**Formation energy**: 0.09 eV per atom

The structure in CIF format:
```
data_ZnMoP2
_cell_length_a 5.606
_cell_length_b 5.606
_cell_length_c 10.465
_cell_angle_alpha 90.00
_cell_angle_beta 90.00
_cell_angle_gamma 90.00
_space_group_name_H-M_alt 'I -4 2 d'
_space_group_IT_number 122
_space_group_name_Hall 'I -4 2bw'
loop_
_atom_site_label
_atom_site_fract_x
_atom_site_fract_y
_atom_site_fract_z
_atom_site_occupancy
Zn1 0.000 0.000 0.000 1
Mo1 0.000 0.000 0.500 1
P1 0.239 0.250 0.625 1
```